1.
9
Lattice="3.5780 0.0000 0.5681 1.5770 6.0803 1.6194 0.0159 -0.1690 11.4524" Properties=species:S:1:pos:R:3 comment="Tb6TmZn2 | Alexandria | PBE | relaxed" vol_a3_per_atom=27.77 spacegroup="No. 12" pbc="T T T"
Tb 3.2529 2.9971 2.6155
Tb 1.9179 2.9143 11.0244
Tb 2.3664 4.6602 8.1994
Tb 4.6335 4.3443 5.4720
Tb 0.5373 1.5671 8.1679
Tb 2.8044 1.2512 5.4404
Tm 0.0000 0.0000 0.0000
Zn 1.4164 0.5352 2.6309
Zn 3.7544 5.3762 11.0090

2.
7
Lattice="3.6608 0.0000 0.0000 -1.8304 6.4267 -0.3424 0.0000 -3.4177 8.2514" Properties=species:S:1:pos:R:3 comment="Tb3Tm2Zn2 | Alexandria | PBE | relaxed" e_above_lowest_polymorph_mev_per_atom=0.0 vol_a3_per_atom=27.12 spacegroup="No. 12" pbc="T T T"
Tb 1.8304 0.0000 0.0000
Tb 1.8304 -0.0915 3.5614
Tb 0.0000 3.1004 4.3476
Tm 1.8304 3.8849 1.3074
Tm 0.0000 -0.8760 6.6015
Zn 1.8304 1.4262 6.2103
Zn 0.0000 1.5827 1.6986

3.
7
Lattice="-0.2374 3.8834 2.6125 -1.3238 -4.9965 3.1035 7.8635 1.1591 -1.0083" Properties=species:S:1:pos:R:3 comment="Tb2Tm3Zn2 | Alexandria | PBE | relaxed" e_above_lowest_polymorph_mev_per_atom=103.9 vol_a3_per_atom=26.84 spacegroup="No. 12" pbc="T T T"
Tb 0.5045 -0.0434 4.3137
Tb 5.7978 0.0894 0.3941
Tm -0.1187 1.9417 1.3063
Tm 3.0956 1.6544 2.0254
Tm 3.2067 -1.6085 2.6824
Zn 5.2504 0.7423 3.5771
Zn 1.0519 -0.6963 1.1307

4.
6
Lattice="-2.6101 0.3258 2.6440 -2.3304 -2.2192 -2.0258 3.5540 -7.8020 4.4700" Properties=species:S:1:pos:R:3 comment="TbTmZn4 | Alexandria | PBE | relaxed" e_above_lowest_polymorph_mev_per_atom=395.9 vol_a3_per_atom=22.85 spacegroup="No. 47" pbc="T T T"
Tb 1.0790 -8.7284 4.7797
Tm -0.5568 -6.0987 0.2104
Zn -2.7441 -4.0013 0.4217
Zn -0.9809 -7.8702 2.6403
Zn 1.4821 -6.9067 2.3216
Zn -0.2645 -3.0739 0.1250

5.
8
Lattice="-9.2172 0.4603 0.5474 -4.5844 -4.9593 5.0420 -4.3176 1.2515 4.3502" Properties=species:S:1:pos:R:3 comment="Tb6TmZn | Alexandria | PBE | relaxed" vol_a3_per_atom=30.16 spacegroup="No. 148" pbc="T T T"
Tb -5.6664 -1.1296 5.5139
Tb -14.4654 -3.5121 8.3130
Tb -7.0116 -0.7312 2.1438
Tb -3.6537 0.2646 1.6266
Tb -12.4527 -2.1179 4.4258
Tb -11.1075 -2.5162 7.7958
Tm -9.0596 -1.6237 4.9698
Zn 0.0000 0.0000 0.0000

6.
10
Lattice="3.5163 0.0000 0.0000 0.0000 3.5163 0.0000 0.0000 0.0000 23.6231" Properties=species:S:1:pos:R:3 comment="Tb4Tm5Zn | Alexandria | PBE | relaxed" vol_a3_per_atom=29.21 spacegroup="No. 123" pbc="T T T"
Tb 0.0000 0.0000 4.3090
Tb 0.0000 0.0000 9.3151
Tb 0.0000 0.0000 14.3080
Tb 0.0000 0.0000 19.3141
Tm 1.7581 1.7581 1.7533
Tm 1.7581 1.7581 6.7968
Tm 1.7581 1.7581 11.8116
Tm 1.7581 1.7581 16.8263
Tm 1.7581 1.7581 21.8698
Zn 0.0000 0.0000 0.0000

7.
7
Lattice="5.6927 0.0242 -1.9885 -2.8305 4.9127 -2.0530 0.0139 -0.0242 6.0299" Properties=species:S:1:pos:R:3 comment="TbTm2Zn4 | Alexandria | PBE | relaxed" vol_a3_per_atom=24.11 spacegroup="No. 139" pbc="T T T"
Tb 0.0000 0.0000 0.0000
Tm 1.4311 2.4685 -2.0207
Tm 2.8533 0.0000 2.0207
Zn 2.8463 0.0121 -0.9942
Zn 1.4381 2.4564 0.9942
Zn 0.0070 -0.0121 3.0150
Zn -1.4152 2.4564 -1.0265

8.
7
Lattice="3.5155 0.0000 0.4665 0.0000 3.5094 0.0000 -0.2345 0.0000 15.2449" Properties=species:S:1:pos:R:3 comment="Tb3Tm2Zn2 | Alexandria | PBE | relaxed" e_above_lowest_polymorph_mev_per_atom=44.2 vol_a3_per_atom=26.92 spacegroup="No. 65" pbc="T T T"
Tb 3.0383 0.0000 4.0619
Tb 0.0000 0.0000 0.0000
Tb 0.2427 0.0000 11.6495
Tm 2.3266 1.7547 9.4249
Tm 0.9544 1.7547 6.2865
Zn 1.7586 1.7547 13.7051
Zn 1.5224 1.7547 2.0063

9.
6
Lattice="3.5442 0.0000 0.0000 0.0000 3.5442 0.0000 0.0000 0.0000 10.6270" Properties=species:S:1:pos:R:3 comment="TbTm2Zn3 | Alexandria | PBE | relaxed" vol_a3_per_atom=22.25 spacegroup="No. 123" pbc="T T T"
Tb 1.7721 1.7721 5.3135
Tm 1.7721 1.7721 8.8738
Tm 1.7721 1.7721 1.7532
Zn 0.0000 0.0000 0.0000
Zn 0.0000 0.0000 7.1503
Zn 0.0000 0.0000 3.4767

10.
10
Lattice="-0.8625 -1.8849 2.9447 4.3115 -0.2823 1.0821 -0.5708 12.2449 5.4687" Properties=species:S:1:pos:R:3 comment="TbTmZn3 | Alexandria | PBE | relaxed" vol_a3_per_atom=21.34 spacegroup="No. 63" pbc="T T T"
Tb 1.9480 8.4822 8.2019
Tb 0.9302 1.5954 1.2937
Tm 2.8132 4.5302 3.7237
Tm 0.0650 5.5475 5.7718
Zn 2.5624 1.5525 3.9462
Zn 0.3158 8.5251 5.5493
Zn 2.7554 -0.6243 2.6093
Zn 0.1228 10.7020 6.8862
Zn 0.2991 2.9066 4.1500
Zn 2.5791 7.1711 5.3455

11.
4
Lattice="3.5789 0.0000 0.0000 0.0000 5.0056 0.0000 0.0000 0.0000 5.0056" Properties=species:S:1:pos:R:3 comment="TbTmZn2 | Alexandria | PBE | relaxed" vol_a3_per_atom=22.42 spacegroup="No. 123" pbc="T T T"
Zn 0.0000 0.0000 2.5028
Zn 0.0000 2.5028 0.0000
Tm 1.7895 0.0000 0.0000
Tb 1.7895 2.5028 2.5028

12.
9
Lattice="-0.0200 -3.4286 0.6606 6.1692 0.8517 4.6068 -7.1417 0.6078 2.9384" Properties=species:S:1:pos:R:3 comment="Tb2TmZn6 | Alexandria | PBE | relaxed" vol_a3_per_atom=20.16 spacegroup="No. 191" pbc="T T T"
Tb -2.7047 0.6891 3.4946
Tb 1.7122 -2.6582 4.7113
Tm -7.1416 0.6078 2.9384
Zn -0.3327 -1.2300 2.8342
Zn -0.6598 -0.7391 5.3717
Zn -4.7817 -1.3082 2.2936
Zn -3.0297 -0.5374 6.3468
Zn 2.0372 -1.4317 1.8591
Zn 3.7893 -0.6609 5.9122

13.
10
Lattice="-1.1087 -0.5151 3.3515 -2.4568 -4.2453 -1.4652 11.2890 -6.8063 0.7913" Properties=species:S:1:pos:R:3 comment="TbTm2Zn2 | Alexandria | PBE | relaxed" e_above_lowest_polymorph_mev_per_atom=0.0 vol_a3_per_atom=23.90 spacegroup="No. 11" pbc="T T T"
Tb 5.2503 -8.4720 2.3296
Tb 2.4731 -3.0946 0.3481
Tm -0.8507 -3.8368 -0.8706
Tm 8.5741 -7.7298 3.5482
Tm 3.1512 -6.4697 0.0478
Tm 4.5722 -5.0969 2.6298
Zn 0.6087 -5.4197 1.2688
Zn 7.1148 -6.1469 1.4088
Zn 7.8671 -9.5735 1.1332
Zn -0.1436 -1.9931 1.5444

14.
4
Lattice="3.5560 0.0000 0.0000 1.7780 3.0796 0.0000 1.7780 1.0265 10.1256" Properties=species:S:1:pos:R:3 comment="TbTm2Zn | Alexandria | PBE | relaxed" e_above_lowest_polymorph_mev_per_atom=104.7 vol_a3_per_atom=27.72 spacegroup="No. 160" pbc="T T T"
Tb 3.5560 2.0530 5.0512
Tm 1.7780 1.0265 7.9395
Tm 1.7780 1.0265 2.1851
Zn 3.5560 2.0530 0.0126

15.
10
Lattice="-1.2563 -1.9012 -2.7048 3.1286 -1.6191 -0.3151 -7.1110 -16.6625 15.0149" Properties=species:S:1:pos:R:3 comment="Tb5Tm4Zn | Alexandria | PBE | relaxed" vol_a3_per_atom=29.43 spacegroup="No. 123" pbc="T T T"
Tb 0.3937 -3.0313 -0.3645
Tb -1.1154 -6.5673 2.8218
Tb -2.6194 -10.0914 5.9975
Tb -4.1233 -13.6156 9.1731
Tb -5.6324 -17.1516 12.3595
Tm -1.3066 -3.0617 2.7589
Tm -2.8051 -6.5731 5.9231
Tm -4.3058 -10.0895 9.0918
Tm -5.8044 -13.6009 12.2560
Zn 0.0000 0.0000 0.0000

16.
5
Lattice="-3.1264 1.3703 0.8500 -0.6716 0.5793 -3.4041 -2.7455 -11.0741 0.4748" Properties=species:S:1:pos:R:3 comment="Tb2Tm2Zn | Alexandria | PBE | relaxed" e_above_lowest_polymorph_mev_per_atom=0.0 vol_a3_per_atom=27.58 spacegroup="No. 139" pbc="T T T"
Tb -4.7462 -5.2162 -1.7688
Tb -1.7974 -3.9083 -0.3104
Tm -2.6281 -0.6106 -1.4030
Tm -3.9154 -8.5139 -0.6763
Zn 0.0000 0.0000 0.0000

17.
10
Lattice="4.9475 0.0000 0.0000 0.0000 4.9475 0.0000 -2.4738 -2.4738 11.9409" Properties=species:S:1:pos:R:3 comment="Tb2Tm2Zn | Alexandria | PBE | relaxed" e_above_lowest_polymorph_mev_per_atom=137.6 vol_a3_per_atom=29.23 spacegroup="No. 141" pbc="T T T"
Tb 0.0000 2.4738 10.1673
Tb 2.4738 2.4738 4.1968
Tb 0.0000 0.0000 7.7441
Tb 0.0000 2.4738 1.7737
Tm 2.4738 2.4738 7.6296
Tm 2.4738 0.0000 1.6591
Tm 2.4738 0.0000 10.2818
Tm 0.0000 0.0000 4.3113
Zn 2.4738 2.4738 0.0000
Zn 0.0000 2.4738 5.9705

18.
7
Lattice="-0.5230 -5.0848 0.3277 4.1264 -0.6159 -2.9715 1.8381 2.8024 6.3863" Properties=species:S:1:pos:R:3 comment="Tb2TmZn4 | Alexandria | PBE | relaxed" vol_a3_per_atom=23.38 spacegroup="No. 139" pbc="T T T"
Tb 3.4421 -2.8720 0.9606
Tb 1.9994 -0.0263 2.7820
Tm 0.0000 0.0000 0.0000
Zn 4.9145 -0.3455 2.4816
Zn 2.5899 -2.5799 4.1312
Zn 0.5269 -2.5528 1.2609
Zn 2.8516 -0.3183 -0.3887

19.
11
Lattice="5.5387 1.3545 0.0000 2.2541 8.3532 0.0000 1.1270 4.1766 7.4937" Properties=species:S:1:pos:R:3 comment="TbTm8Zr2 | Alexandria | PBE | relaxed" vol_a3_per_atom=29.44 spacegroup="No. 12" pbc="T T T"
Tb 2.7694 0.6773 0.0000
Tm 5.2144 2.9173 1.7581
Tm 6.3414 7.0939 5.7356
Tm 2.5783 3.9045 0.0000
Tm 5.0235 9.0304 3.2943
Tm 3.8964 4.8538 4.1994
Tm 5.2146 5.8032 0.0000
Tm 2.5784 6.7904 1.7581
Tm 3.7055 10.9669 5.7356
Zr 1.1270 4.1766 2.9119
Zr 2.2541 8.3532 4.5818

20.
4
Lattice="4.8364 0.0000 0.0000 0.0000 4.8251 0.0000 0.0000 0.0000 4.8251" Properties=species:S:1:pos:R:3 comment="TbTm2Zr | Alexandria | PBE | relaxed" e_above_lowest_polymorph_mev_per_atom=26.3 vol_a3_per_atom=28.15 spacegroup="No. 123" pbc="T T T"
Tm 0.0000 0.0000 2.4126
Tm 0.0000 2.4126 0.0000
Tb 2.4182 2.4126 2.4126
Zr 2.4182 0.0000 0.0000

It is found that the DOS at the Fermi energy values, taken in the order of the records, are 9.80, 8.58, 8.55, 3.01, 10.91, 12.08, 2.18, 9.10, 6.47, 5.06, 4.08, 6.02, 4.61, 5.20, 12.96, 6.14, 8.40, 4.55, 16.96, 5.08 states/eV/f.u..
It is found that the energy relative to the elements values, taken in the order of the records, are -0.144, -0.152, -0.093, 0.021, 0.042, -0.053, -0.176, -0.108, -0.345, -0.342, -0.343, -0.379, -0.273, -0.062, -0.049, -0.127, 0.011, -0.160, 0.215, 0.082 eV/atom.